1.
Entry from Alexandria: an optimized crystal structure of ZrAsI (GGA-PBE).

```
6
Lattice="3.8262 0.0000 0.0000 -1.9110 4.6911 0.0000 -0.0425 -1.2811 10.7471" Properties=species:S:1:pos:R:3 pbc="T T T"
Zr 0.0000 0.0000 0.0000
Zr -0.0421 1.1893 8.5497
As 1.8714 -0.8187 8.5570
As 1.8704 0.7369 10.6679
I -0.0409 1.3243 5.7990
I 0.0018 4.0706 2.2182
```

Output
M_tot = 0.00 μB per formula unit
Calculated volume = 32.15 A^3/atom
Formation energy from raw total energies = -75.17 kJ/mol of atoms
E = -5.695 eV/atom
Excess energy over the best structure of this formula in the dataset = 0.0993 eV/atom

=====

2.
Entry from Alexandria: an optimized crystal structure of SbRhSeI2 (GGA-PBE).

```
5
Lattice="5.7276 0.0000 0.0000 0.0000 5.7276 0.0000 0.0000 0.0000 5.4029" Properties=species:S:1:pos:R:3 pbc="T T T"
Sb 0.0000 0.0000 0.0000
Rh 2.8638 2.8638 0.0000
Se 0.0000 0.0000 2.7014
I 0.0000 2.8638 2.7014
I 2.8638 0.0000 2.7014
```

Output
M_tot = 1.74 μB per formula unit
Calculated volume = 35.45 A^3/atom
Formation energy from raw total energies = 108.92 kJ/mol of atoms
E = -2.483 eV/atom
Excess energy over the best structure of this formula in the dataset = 0.7110 eV/atom

=====

3.
Entry from Alexandria: an optimized crystal structure of Mg3SbIr (GGA-PBE).

```
5
Lattice="4.9620 0.0000 0.0000 0.0000 4.9620 0.0000 0.0000 0.0000 4.9620" Properties=species:S:1:pos:R:3 pbc="T T T"
Mg 0.0000 0.0000 2.4810
Mg 0.0000 2.4810 0.0000
Mg 2.4810 0.0000 0.0000
Sb 2.4810 2.4810 2.4810
Ir 0.0000 0.0000 0.0000
```

Output
M_tot = 0.00 μB per formula unit
Calculated volume = 24.43 A^3/atom
Formation energy from raw total energies = 3.37 kJ/mol of atoms
E = -3.519 eV/atom
Excess energy over the best structure of this formula in the dataset = 0.0000 eV/atom

=====

4.
Entry from Alexandria: an optimized crystal structure of Sm2TmTh3S6 (GGA-PBE).

```
12
Lattice="8.8040 -1.9869 0.0000 8.8040 1.9869 0.0000 -2.1575 0.0000 7.7557" Properties=species:S:1:pos:R:3 pbc="T T T"
Sm 2.2100 0.0000 2.5827
Sm 13.2403 0.0000 5.1730
Tm 8.8040 0.0000 0.0000
Th 1.1647 0.0000 6.4652
Th 7.7252 0.0000 3.8779
Th 14.2856 0.0000 1.2906
S -0.5050 0.0000 1.8287
S 15.9553 0.0000 5.9271
S 4.9302 0.0000 3.2606
S 3.9975 0.0000 7.1062
S 11.4529 0.0000 0.6495
S 10.5202 0.0000 4.4951
```

Output
M_tot = 0.00 μB per formula unit
Calculated volume = 22.61 A^3/atom
Formation energy from raw total energies = -183.01 kJ/mol of atoms
E = -6.975 eV/atom

=====

5.
Entry from Alexandria: an optimized crystal structure of Cu2P (GGA-PBE).

```
6
Lattice="3.4961 0.0000 0.0000 -1.7480 3.0277 0.0000 0.0000 0.0000 7.9319" Properties=species:S:1:pos:R:3 pbc="T T T"
Cu 0.0000 2.0185 0.7465
Cu 0.0000 2.0185 3.2194
Cu 1.7480 1.0092 4.7125
Cu 1.7480 1.0092 7.1854
P 0.0000 0.0000 1.9830
P 0.0000 0.0000 5.9489
```

Output
M_tot = 0.00 μB per formula unit
Calculated volume = 13.99 A^3/atom
E = -4.361 eV/atom
Formation energy from the elements = 0.174 eV/atom

=====

6.
Entry from Alexandria: an optimized crystal structure of RbCa2SbBr8 (GGA-PBE).

```
12
Lattice="6.7890 0.0000 0.0000 0.0000 9.1678 0.0000 -0.0815 0.0000 7.0714" Properties=species:S:1:pos:R:3 pbc="T T T"
Rb 0.0000 0.0000 0.0000
Ca 3.3537 2.2605 3.5357
Ca 3.3537 6.9073 3.5357
Sb 0.0000 4.5839 0.0000
Br 1.6827 2.6319 1.1337
Br 1.6827 6.5359 1.1337
Br 1.6636 4.5839 4.7147
Br 1.7977 0.0000 4.3983
Br 4.9098 0.0000 2.6731
Br 5.0438 4.5839 2.3567
Br 5.0248 2.6319 5.9377
Br 5.0248 6.5359 5.9377
```

Output
M_tot = 0.00 μB per formula unit
Calculated volume = 36.68 A^3/atom
Formation energy from raw total energies = -140.80 kJ/mol of atoms
E = -3.332 eV/atom

=====

7.
Entry from Alexandria: an optimized crystal structure of Zr3TiFe2N (GGA-PBE).

```
7
Lattice="-1.9745 2.2173 6.4990 1.9745 -2.2173 6.4990 1.9745 2.2173 -6.4990" Properties=species:S:1:pos:R:3 pbc="T T T"
Zr 0.0000 0.0000 0.0000
Zr 1.9745 0.0000 4.1195
Zr 0.0000 2.2173 2.3794
Ti 0.0000 0.0000 6.4990
Fe 1.9745 0.0000 1.6955
Fe 0.0000 2.2173 4.8035
N 0.0000 2.2173 0.0000
```

Output
M_tot = 0.22 μB per formula unit
Calculated volume = 16.26 A^3/atom
Formation energy from raw total energies = -36.45 kJ/mol of atoms
E = -8.776 eV/atom

=====

8.
Entry from Alexandria: an optimized crystal structure of Ca2FeSb (GGA-PBE).

```
4
Lattice="-2.4960 2.4960 3.5090 2.4960 -2.4960 3.5090 2.4960 2.4960 -3.5090" Properties=species:S:1:pos:R:3 pbc="T T T"
Ca 0.0000 0.0000 0.0000
Ca 0.0000 2.4960 1.7545
Fe 0.0000 0.0000 3.5090
Sb 2.4960 0.0000 1.7545
```

Output
M_tot = 1.04 μB per formula unit
Calculated volume = 21.86 A^3/atom
Formation energy from raw total energies = 7.32 kJ/mol of atoms
E = -4.071 eV/atom

=====

9.
Entry from Alexandria: an optimized crystal structure of Ce2Tc12P7 (GGA-PBE).

```
21
Lattice="10.6546 0.0000 0.0000 -5.3273 9.2272 0.0000 0.0000 0.0000 3.1589" Properties=species:S:1:pos:R:3 pbc="T T T"
Ce 0.0000 6.1514 0.7826
Ce 5.3273 3.0757 2.3764
Tc -1.5726 4.1003 2.3738
Tc -3.3200 8.0005 0.8063
Tc 0.0587 2.3517 0.8063
Tc 2.0660 1.1250 2.3526
Tc -0.9900 8.5389 2.3738
Tc 2.7647 3.4120 0.7852
Tc 2.5626 5.8151 2.3738
Tc 6.3173 0.6883 0.7852
Tc 3.2613 8.1021 0.8063
Tc 5.2686 6.8755 2.3526
Tc 8.6473 1.2267 2.3526
Tc 6.8999 5.1268 0.7852
P 0.0000 0.0000 1.5795
P -2.4819 6.4209 2.3666
P 1.0076 3.8673 2.3666
P 3.8529 1.0610 0.7923
P 1.4744 8.1661 2.3666
P 4.3197 5.3599 0.7923
P 7.8092 2.8062 0.7923
```

Output
M_tot = 0.00 μB per formula unit
Calculated volume = 14.79 A^3/atom
E = -8.811 eV/atom
Formation energy from the elements = -0.519 eV/atom

=====

10.
Entry from Alexandria: an optimized crystal structure of Y2ErNi (GGA-PBE).

```
16
Lattice="6.8379 0.0000 0.0000 0.0000 9.5868 0.0000 0.0000 0.0000 6.3486" Properties=species:S:1:pos:R:3 pbc="T T T"
Y 1.2239 0.6325 1.1404
Y 1.2239 4.1609 1.1404
Y 2.1951 5.4259 4.3148
Y 2.1951 8.9543 4.3148
Y 4.6428 0.6325 2.0339
Y 4.6428 4.1609 2.0339
Y 5.6140 5.4259 5.2082
Y 5.6140 8.9543 5.2082
Er 0.2432 2.3967 4.0725
Er 3.1757 7.1901 0.8982
Er 3.6622 2.3967 5.4504
Er 6.5946 7.1901 2.2761
Ni 0.7497 7.1901 6.0609
Ni 2.6692 2.3967 2.8866
Ni 4.1687 7.1901 3.4620
Ni 6.0881 2.3967 0.2877
```

Output
M_tot = 0.00 μB per formula unit
Calculated volume = 26.01 A^3/atom
E = -6.065 eV/atom
Excess energy over the best structure of this formula in the dataset = 0.0000 eV/atom
Formation energy from the elements = -0.246 eV/atom